Record 1
An optimized crystal structure of K2TaSb. Source: Alexandria, functional PBE.

Cell lengths 3.373, 3.373, 11.834 Å; angles 90.00, 90.00, 101.01 degrees
Site moments in Bohr magnetons follow the coordinates.
Fractional coordinates of all 4 atoms:
K 0.000 0.000 0.948  0.01
K 0.500 0.500 0.313  0.00
Ta 0.500 0.500 0.696  0.17
Sb 0.000 0.000 0.543  0.00

- space-group type = Cmm2
- ρ (g/cm3) = 4.79
- raw formation energy (eV/atom) = 0.523
- DOS at the Fermi energy (states/eV per cell) = 3.8
- uncorrected energy (eV for the cell shown) = -16.08


Record 2
An optimized crystal structure of CrSi2BrCl. Source: Alexandria, functional PBE.

Cell lengths 5.207, 4.908, 5.207 Å; angles 90.00, 90.00, 90.00 degrees
Site moments in Bohr magnetons follow the coordinates.
Fractional coordinates of all 5 atoms:
Si 0.000 0.000 0.500  -0.11
Si 0.500 0.000 0.000  -0.19
Cl 0.500 0.500 0.500  -0.05
Br 0.000 0.000 0.000  -0.01
Cr 0.000 0.500 0.000  3.95

- space-group type = P4/mmm
- ρ (g/cm3) = 2.79
- raw formation energy (eV/atom) = 1.225
- DOS at the Fermi energy (states/eV per cell) = 4.7
- uncorrected energy (eV for the cell shown) = -17.86


Record 3
An optimized crystal structure of Y2Cd2Ge. Source: Alexandria, functional PBE.

Cell lengths 7.265, 7.265, 4.718 Å; angles 90.00, 90.00, 90.00 degrees
Fractional coordinates of all 10 atoms:
Cd 0.135 0.365 0.000
Cd 0.865 0.635 0.000
Cd 0.635 0.135 0.000
Cd 0.365 0.865 0.000
Y 0.170 0.670 0.500
Y 0.830 0.330 0.500
Y 0.330 0.170 0.500
Y 0.670 0.830 0.500
Ge 0.000 0.000 0.000
Ge 0.500 0.500 0.000

- space-group type = P4/mbm
- ρ (g/cm3) = 6.34
- DFT formation energy (eV per atom) = -0.306
- offset from the most stable computed form (meV per atom) = 0
- DOS at the Fermi energy (states/eV per cell) = 1.4
- uncorrected energy (eV for the cell shown) = -41.81


Record 4
An optimized crystal structure of Hf3BBr. Source: Alexandria, functional PBE.

Cell lengths 4.653, 4.653, 4.653 Å; angles 90.00, 90.00, 90.00 degrees
Fractional coordinates of all 5 atoms:
Hf 0.000 0.000 0.500
Hf 0.000 0.500 0.000
Hf 0.500 0.000 0.000
Br 0.500 0.500 0.500
B 0.000 0.000 0.000

- space-group type = Pm-3m
- ρ (g/cm3) = 10.32
- offset from the most stable computed form (meV per atom) = 0
- raw formation energy (eV/atom) = 0.223
- DOS at the Fermi energy (states/eV per cell) = 5.2
- uncorrected energy (eV for the cell shown) = -37.09


Record 5
An optimized crystal structure of Ce3P2H. Source: Alexandria, functional PBE.

Cell lengths 6.925, 6.928, 6.928 Å; angles 120.25, 99.60, 99.60 degrees
Site moments in Bohr magnetons follow the coordinates.
Fractional coordinates of all 12 atoms:
P 0.750 0.082 0.918  -0.03
P 0.750 0.754 0.246  -0.03
P 0.250 0.918 0.082  -0.03
P 0.250 0.246 0.754  -0.03
Ce 0.503 0.337 0.171  0.72
Ce 0.500 0.000 0.500  0.70
Ce 0.497 0.663 0.829  0.72
Ce 0.997 0.829 0.663  0.72
Ce 0.003 0.171 0.337  0.72
Ce 0.000 0.500 0.000  0.70
H 0.750 0.407 0.593  -0.01
H 0.250 0.593 0.407  -0.01

- space-group type = C2/c
- ρ (g/cm3) = 5.93
- DOS at the Fermi energy (states/eV per cell) = 28.1
- uncorrected energy (eV for the cell shown) = -76.36